(1)
The following is a DFT calculation (PBE) of Na4ErPu3S8 after structural relaxation.

a b c (Å): 8.092 8.092 8.092
angles (deg): 59.63 59.63 59.63
Fractional positions:
Na1 0.000 0.000 0.000
Na2 0.000 0.500 0.500
Na3 0.500 0.000 0.500
Na4 0.500 0.500 0.000
Er1 0.500 0.500 0.500
Pu1 0.000 0.000 0.500
Pu2 0.000 0.500 0.000
Pu3 0.500 0.000 0.000
S1 0.241 0.241 0.241
S2 0.246 0.740 0.740
S3 0.260 0.260 0.754
S4 0.260 0.754 0.260
S5 0.740 0.246 0.740
S6 0.740 0.740 0.246
S7 0.754 0.260 0.260
S8 0.759 0.759 0.759

Output
The formation energy (no corrections) is -25.89 eV per formula unit. Its space group is R-3m.

(2)
The following is a DFT calculation (PBE) of Na2Er2PuS6 after structural relaxation.

a b c (Å): 6.846 6.846 7.109
angles (deg): 99.21 99.21 119.95
Fractional positions:
Na1 0.168 0.832 0.000
Na2 0.832 0.168 0.000
Er1 0.334 0.666 0.500
Er2 0.666 0.334 0.500
Pu1 0.000 0.000 0.500
S1 0.069 0.402 0.719
S2 0.253 0.253 0.281
S3 0.402 0.069 0.719
S4 0.598 0.931 0.281
S5 0.747 0.747 0.719
S6 0.931 0.598 0.281

Output
The formation energy (no corrections) is -18.68 eV per formula unit. Its space group is C2/m.

(3)
The following is a DFT calculation (PBE) of Na2ErPuS4 after structural relaxation.

a b c (Å): 6.935 4.004 7.041
angles (deg): 90.00 109.28 90.00
Fractional positions:
Na1 0.000 0.000 0.000
Na2 0.500 0.500 0.000
Er1 0.000 0.500 0.500
Pu1 0.500 0.000 0.500
S1 0.237 0.000 0.727
S2 0.254 0.500 0.275
S3 0.746 0.500 0.725
S4 0.763 0.000 0.273

Output
The formation energy (no corrections) is -13.47 eV per formula unit. Its space group is P2/m.

(4)
The following is a DFT calculation (PBE) of Na4Er3PuSe8 after structural relaxation.

a b c (Å): 8.467 8.467 8.467
angles (deg): 58.58 58.58 58.58
Fractional positions:
Na1 0.000 0.000 0.000
Na2 0.000 0.500 0.500
Na3 0.500 0.000 0.500
Na4 0.500 0.500 0.000
Er1 0.000 0.000 0.500
Er2 0.000 0.500 0.000
Er3 0.500 0.000 0.000
Pu1 0.500 0.500 0.500
Se1 0.237 0.746 0.746
Se2 0.243 0.243 0.243
Se3 0.254 0.254 0.763
Se4 0.254 0.763 0.254
Se5 0.746 0.237 0.746
Se6 0.746 0.746 0.237
Se7 0.757 0.757 0.757
Se8 0.763 0.254 0.254

Output
The formation energy (no corrections) is -25.88 eV per formula unit. Its space group is R-3m.

(5)
The following is a DFT calculation (PBE) of Na2ErPuSe4 after structural relaxation.

a b c (Å): 7.227 4.168 7.371
angles (deg): 90.00 109.14 90.00
Fractional positions:
Na1 0.000 0.000 0.000
Na2 0.500 0.500 0.000
Er1 0.000 0.500 0.500
Pu1 0.500 0.000 0.500
Se1 0.238 0.000 0.729
Se2 0.252 0.500 0.271
Se3 0.748 0.500 0.729
Se4 0.762 0.000 0.271

Output
The formation energy (no corrections) is -12.33 eV per formula unit. Its space group is P2/m.

(6)
The following is a DFT calculation (PBE) of NaEr3Pu2Se6 after structural relaxation.

a b c (Å): 9.212 9.212 8.258
angles (deg): 103.61 103.61 25.57
Fractional positions:
Na1 0.000 0.000 0.000
Er1 0.000 0.000 0.500
Er2 0.333 0.333 0.169
Er3 0.667 0.667 0.831
Pu1 0.333 0.333 0.666
Pu2 0.667 0.667 0.334
Se1 0.164 0.164 0.587
Se2 0.168 0.168 0.076
Se3 0.497 0.497 0.256
Se4 0.503 0.503 0.744
Se5 0.832 0.832 0.924
Se6 0.836 0.836 0.413

Output
The formation energy (no corrections) is -19.76 eV per formula unit. Its space group is C2/m.

(7)
The following is a DFT calculation (PBE) of Na2ErPuTe4 after structural relaxation.

a b c (Å): 7.719 4.453 7.953
angles (deg): 90.00 109.01 90.00
Fractional positions:
Na1 0.000 0.000 0.000
Na2 0.500 0.500 0.000
Er1 0.000 0.500 0.500
Pu1 0.500 0.000 0.500
Te1 0.238 0.000 0.732
Te2 0.251 0.500 0.268
Te3 0.749 0.500 0.732
Te4 0.762 0.000 0.268

Output
The formation energy (no corrections) is -9.26 eV per formula unit. Its space group is P2/m.

(8)
The following is a DFT calculation (PBE) of Na3ErPu2Te6 after structural relaxation.

a b c (Å): 7.732 7.732 7.942
angles (deg): 99.34 99.34 120.00
Fractional positions:
Na1 0.000 0.000 0.000
Na2 0.332 0.668 0.000
Na3 0.668 0.332 0.000
Er1 0.500 0.500 0.500
Pu1 0.167 0.833 0.500
Pu2 0.833 0.167 0.500
Te1 0.094 0.422 0.267
Te2 0.249 0.249 0.733
Te3 0.422 0.094 0.267
Te4 0.578 0.906 0.733
Te5 0.751 0.751 0.267
Te6 0.906 0.578 0.733

Output
The formation energy (no corrections) is -13.40 eV per formula unit. Its space group is C2/m.

(9)
The following is a DFT calculation (PBE) of NaEr2PuTe4 after structural relaxation.

a b c (Å): 7.612 4.362 7.714
angles (deg): 90.00 109.04 90.00
Fractional positions:
Na1 0.000 0.000 0.000
Er1 0.000 0.500 0.500
Er2 0.500 0.000 0.500
Pu1 0.500 0.500 0.000
Te1 0.246 0.000 0.741
Te2 0.253 0.500 0.261
Te3 0.747 0.500 0.739
Te4 0.754 0.000 0.259

Output
The formation energy (no corrections) is -9.80 eV per formula unit. Its space group is P2/m.

(10)
The following is a DFT calculation (PBE) of RbNa2Er after structural relaxation.

a b c (Å): 3.697 3.697 43.426
angles (deg): 90.00 90.00 120.00
Fractional positions:
Rb1 0.000 0.000 0.000
Rb2 0.333 0.667 0.667
Rb3 0.667 0.333 0.333
Na1 0.000 0.000 0.421
Na2 0.000 0.000 0.579
Na3 0.333 0.667 0.088
Na4 0.333 0.667 0.246
Na5 0.667 0.333 0.754
Na6 0.667 0.333 0.912
Er1 0.000 0.000 0.500
Er2 0.333 0.667 0.167
Er3 0.667 0.333 0.833

Output
Its space group is R-3m. The calculated formation energy is 0.4079 eV/atom.

(11)
The following is a DFT calculation (PBE) of NaErRh4 after structural relaxation.

a b c (Å): 5.276 5.276 5.276
angles (deg): 60.00 60.00 60.00
Fractional positions:
Na1 0.000 0.000 0.000
Er1 0.250 0.250 0.250
Rh1 0.125 0.625 0.625
Rh2 0.625 0.125 0.625
Rh3 0.625 0.625 0.125
Rh4 0.625 0.625 0.625

Output
Its space group is F-43m. The calculated formation energy is -0.3445 eV/atom.

Volume for the records above, in order: 371.5, 273.5, 184.5, 415.3, 209.7, 293.5, 258.4, 388.9, 242.1, 514.0, 103.9 Å³/cell
E for the records above, in order: -6.9842, -6.3222, -6.4394, -5.4410, -5.9756, -7.0282, -5.4203, -5.7860, -5.8926, -1.6343, -6.2258 eV per atom
Total magnetization for the records above, in order: 0.938, 0.364, 0.625, 0.312, 0.625, 0.989, 0.625, 0.833, 0.760, 0.000, 0.001 μB/atom